Record 1
An optimized crystal structure of SiTcPt2. Source: Alexandria, functional PBE.

Structure (POSCAR):
```
SiTcPt2
1.0
3.765 0.000 0.000
0.000 3.765 0.000
1.882 1.882 9.082
Si Tc Pt
2 2 4
Cartesian
1.882 1.882 0.000
1.882 3.765 4.541
0.000 0.000 0.000
3.765 1.882 4.541
2.808 0.941 2.271
0.956 2.823 2.271
2.823 2.839 6.812
4.706 4.690 6.812
```

Summary:
- M_tot: 0.351 μB/atom
- Formation energy (no corrections): 0.471 eV/f.u.
- Final energy: -6.850 eV/atom



Record 2
An optimized crystal structure of Dy4HgAs2Se. Source: Alexandria, functional PBE.

Structure (POSCAR):
```
Dy4HgAs2Se
1.0
4.089 0.000 0.000
0.000 7.133 -0.171
0.000 2.478 6.891
Dy Hg As Se
4 1 2 1
Cartesian
0.000 7.313 5.042
4.089 2.299 1.678
2.045 6.041 1.482
2.045 3.570 5.238
0.000 4.806 3.360
0.000 2.478 6.891
2.045 1.239 3.446
2.045 3.567 -0.086
```

Summary:
- M_tot: 0.000 μB/atom
- Formation energy (no corrections): -10.368 eV/f.u.
- Final energy: -5.233 eV/atom



Record 3
An optimized crystal structure of YMoRu. Source: Alexandria, functional PBE.

Structure (POSCAR):
```
YMoRu
1.0
-0.918 3.475 3.843
-0.067 -1.708 5.131
4.123 1.674 3.074
Y Mo Ru
2 2 2
Cartesian
0.731 3.019 6.451
2.408 0.422 5.597
0.000 0.000 0.000
-0.459 1.738 1.922
-0.492 0.884 4.487
1.603 2.575 3.458
```

Summary:
- M_tot: 0.000 μB/atom
- Final energy: -9.023 eV/atom
- Formation enthalpy at 0 K: -0.499 eV/f.u.



Record 4
An optimized crystal structure of ZnGa6Ni. Source: Alexandria, functional PBE.

Structure (POSCAR):
```
ZnGa6Ni
1.0
5.257 0.426 -0.089
-1.561 5.038 -0.089
-0.775 -1.145 5.472
Zn Ga Ni
1 6 1
Cartesian
0.000 0.000 0.000
0.228 0.336 3.445
2.751 1.050 1.018
2.695 3.983 1.849
2.971 1.375 4.276
0.171 3.269 4.276
-0.049 2.945 1.018
1.461 2.160 2.647
```

Summary:
- M_tot: 0.000 μB/atom
- Final energy: -3.171 eV/atom
- Formation enthalpy at 0 K: -0.153 eV/f.u.



Record 5
An optimized crystal structure of NaSbAs3. Source: Alexandria, functional PBE.

Structure (POSCAR):
```
NaSbAs3
1.0
5.017 0.000 0.000
0.000 5.017 0.000
0.000 0.000 5.017
Sb As Na
1 3 1
Cartesian
2.509 2.509 2.509
0.000 2.509 0.000
0.000 0.000 2.509
2.509 0.000 0.000
0.000 0.000 0.000
```

Summary:
- M_tot: 0.000 μB/atom
- Formation energy (no corrections): 5.067 eV/f.u.
- Final energy: -2.865 eV/atom



Record 6
An optimized crystal structure of Na2PmAu9. Source: Alexandria, functional PBE.

Structure (POSCAR):
```
Na2PmAu9
1.0
-0.755 -2.525 -4.884
4.381 -1.424 -3.094
1.513 -9.758 1.657
Na Pm Au
2 1 9
Cartesian
3.759 -7.649 -6.086
1.380 -6.057 -0.235
0.000 0.000 0.000
3.930 -12.366 -3.674
1.209 -1.341 -2.647
2.570 -6.853 -3.160
1.888 -4.119 -2.886
1.509 -5.386 -5.337
4.087 -4.833 -4.439
3.251 -9.588 -3.435
1.052 -8.873 -1.882
3.630 -8.321 -0.983
```

Summary:
- M_tot: 0.000 μB/atom
- Final energy: -3.440 eV/atom
- Formation enthalpy at 0 K: -4.397 eV/f.u.



Record 7
An optimized crystal structure of YAl2Sb. Source: Alexandria, functional PBE.

Structure (POSCAR):
```
YAl2Sb
1.0
-2.680 -4.100 0.093
1.423 -0.868 2.734
-4.107 2.754 3.010
Y Sb Al
1 1 2
Cartesian
-3.398 -0.605 4.387
-1.731 1.182 2.211
0.341 -0.207 0.695
-1.918 -1.641 1.417
```

Summary:
- M_tot: 0.000 μB/atom
- Formation energy (no corrections): -1.209 eV/f.u.
- Final energy: -4.820 eV/atom



Record 8
An optimized crystal structure of NdDyAlGa. Source: Alexandria, functional PBE.

Structure (POSCAR):
```
NdDyAlGa
1.0
-3.173 3.046 -0.754
-1.937 -2.647 -2.540
-1.362 -3.522 4.708
Nd Dy Al Ga
1 1 1 1
Cartesian
-0.831 -0.563 1.221
-4.674 -1.237 1.467
-2.524 -1.711 3.708
-2.977 -0.087 -1.026
```

Summary:
- M_tot: 0.000 μB/atom
- Final energy: -4.521 eV/atom
- Formation enthalpy at 0 K: -1.946 eV/f.u.